(1)
Compound: Ce3YCo2
Source: the Alexandria database
Functional: PBE
Structure: relaxed

Summary:
ΔE to the lowest computed polymorph in eV per formula unit: 0.085
Calculated total energy in eV/atom: -6.490
Formation energy from the elements in eV/atom: -0.08

POSCAR file:
```
Ce3YCo2
1.0
7.4123 -2.4345 0.0000
7.4123 2.4345 0.0000
-3.5714 0.0000 7.5805
Ce Y Co
6 2 4
direct
0.0627 0.0627 0.1913
0.3217 0.3217 0.5421
0.3546 0.3546 0.0322
0.6454 0.6454 0.9678
0.6783 0.6783 0.4579
0.9373 0.9373 0.8087
0.1160 0.1160 0.6658
0.8840 0.8840 0.3342
0.2080 0.2080 0.1476
0.4837 0.4837 0.6319
0.5163 0.5163 0.3681
0.7920 0.7920 0.8524
```



(2)
Compound: CeYCo10
Source: the Alexandria database
Functional: PBE
Structure: relaxed

Summary:
Calculated total energy in eV/atom: -7.067
Formation energy from the elements in eV/atom: -0.11

POSCAR file:
```
CeYCo10
1.0
3.9763 0.0000 0.0000
0.0000 4.8966 0.0000
0.0000 0.0000 8.5135
Ce Y Co
1 1 10
direct
0.0000 0.0000 0.0000
0.0000 0.5000 0.5000
0.0000 0.0000 0.3162
0.0000 0.0000 0.6838
0.0000 0.5000 0.1621
0.0000 0.5000 0.8379
0.5000 0.0000 0.5000
0.5000 0.2572 0.2559
0.5000 0.2572 0.7441
0.5000 0.5000 0.0000
0.5000 0.7428 0.2559
0.5000 0.7428 0.7441
```



(3)
Compound: CeY2Co9
Source: the Alexandria database
Functional: PBE
Structure: relaxed

Summary:
Calculated total energy in eV/atom: -7.060
Formation energy from the elements in eV/atom: -0.16

POSCAR file:
```
CeY2Co9
1.0
2.4837 1.4340 8.1765
-2.4837 1.4340 8.1765
0.0000 -2.8680 8.1765
Ce Y Co
1 2 9
direct
0.0000 0.0000 0.0000
0.1398 0.1398 0.1398
0.8602 0.8602 0.8602
0.0793 0.5828 0.5828
0.3344 0.3344 0.3344
0.4172 0.4172 0.9207
0.4172 0.9207 0.4172
0.5000 0.5000 0.5000
0.5828 0.0793 0.5828
0.5828 0.5828 0.0793
0.6656 0.6656 0.6656
0.9207 0.4172 0.4172
```



(4)
Compound: CeY2Co
Source: the Alexandria database
Functional: PBE
Structure: relaxed

Summary:
ΔE to the lowest computed polymorph in eV per formula unit: 1.579
Calculated total energy in eV/atom: -6.272
Formation energy from the elements in eV/atom: 0.22

POSCAR file:
```
CeY2Co
1.0
1.7658 1.0195 10.3097
-1.7658 1.0195 10.3097
0.0000 -2.0389 10.3097
Ce Y Co
1 2 1
direct
0.0000 0.0000 0.0000
0.1118 0.1118 0.1118
0.8882 0.8882 0.8882
0.5000 0.5000 0.5000
```



(5)
Compound: CeY12Co6
Source: the Alexandria database
Functional: PBE
Structure: relaxed

Summary:
Calculated total energy in eV/atom: -6.741
Formation energy from the elements in eV/atom: -0.10

POSCAR file:
```
CeY12Co6
1.0
-4.9063 4.9063 4.9063
4.9063 -4.9063 4.9063
4.9063 4.9063 -4.9063
Ce Y Co
1 12 6
direct
0.0000 0.0000 0.0000
0.1147 0.8066 0.3081
0.1934 0.3081 0.5015
0.1934 0.6919 0.8853
0.3081 0.1147 0.8066
0.3081 0.5015 0.1934
0.4985 0.8066 0.6919
0.5015 0.1934 0.3081
0.6919 0.4985 0.8066
0.6919 0.8853 0.1934
0.8066 0.3081 0.1147
0.8066 0.6919 0.4985
0.8853 0.1934 0.6919
0.1126 0.6126 0.5000
0.3874 0.5000 0.8874
0.5000 0.1126 0.6126
0.5000 0.8874 0.3874
0.6126 0.5000 0.1126
0.8874 0.3874 0.5000
```



(6)
Compound: CeY2Co
Source: the Alexandria database
Functional: PBE
Structure: relaxed

Summary:
ΔE to the lowest computed polymorph in eV per formula unit: 0.676
Calculated total energy in eV/atom: -6.498
Formation energy from the elements in eV/atom: -0.01

POSCAR file:
```
CeY2Co
1.0
3.3836 0.0000 0.0000
0.0000 3.3836 0.0000
0.0000 0.0000 8.9172
Ce Y Co
1 2 1
direct
0.0000 0.0000 0.0000
0.5000 0.5000 0.3173
0.5000 0.5000 0.6827
0.0000 0.0000 0.5000
```



(7)
Compound: Ce2YCo
Source: the Alexandria database
Functional: PBE
Structure: relaxed

Summary:
ΔE to the lowest computed polymorph in eV per formula unit: 0.508
Calculated total energy in eV/atom: -6.361
Formation energy from the elements in eV/atom: 0.00

POSCAR file:
```
Ce2YCo
1.0
1.8569 1.0721 8.8954
-1.8569 1.0721 8.8954
0.0000 -2.1442 8.8954
Ce Y Co
2 1 1
direct
0.0000 0.0000 0.0000
0.2138 0.2138 0.2138
0.4394 0.4394 0.4394
0.6069 0.6069 0.6069
```



(8)
Compound: CeYCo2
Source: the Alexandria database
Functional: PBE
Structure: relaxed

Summary:
Calculated total energy in eV/atom: -6.795
Formation energy from the elements in eV/atom: -0.14

POSCAR file:
```
CeYCo2
1.0
3.3392 0.0000 0.0000
0.0000 3.3392 0.0000
0.0000 0.0000 6.7240
Ce Y Co
1 1 2
direct
0.0000 0.0000 0.0000
0.0000 0.0000 0.5000
0.5000 0.5000 0.2177
0.5000 0.5000 0.7823
```



(9)
Compound: Ce2Y2Co3
Source: the Alexandria database
Functional: PBE
Structure: relaxed

Summary:
Calculated total energy in eV/atom: -6.795
Formation energy from the elements in eV/atom: -0.21

POSCAR file:
```
Ce2Y2Co3
1.0
3.9619 0.0000 0.0000
1.8339 5.4095 0.0000
1.3233 -0.1301 6.7885
Ce Y Co
2 2 3
direct
0.1582 0.1954 0.4059
0.8418 0.8046 0.5941
0.3997 0.2870 0.8778
0.6003 0.7130 0.1222
0.1559 0.8390 0.8332
0.5000 0.5000 0.5000
0.8441 0.1610 0.1668
```



(10)
Compound: CeYCo2
Source: the Alexandria database
Functional: PBE
Structure: relaxed

Summary:
Calculated total energy in eV/atom: -6.886
Formation energy from the elements in eV/atom: -0.23

POSCAR file:
```
CeYCo2
1.0
7.5589 0.0000 0.0000
0.0000 4.4997 0.0000
0.0000 0.0000 9.3004
Ce Y Co
4 4 8
direct
0.0720 0.2500 0.1240
0.4280 0.7500 0.6240
0.5720 0.2500 0.3760
0.9280 0.7500 0.8760
0.0860 0.2500 0.6257
0.4140 0.7500 0.1257
0.5860 0.2500 0.8743
0.9140 0.7500 0.3743
0.2006 0.2500 0.3366
0.2123 0.2500 0.9181
0.2877 0.7500 0.4181
0.2994 0.7500 0.8366
0.7006 0.2500 0.1634
0.7123 0.2500 0.5819
0.7877 0.7500 0.0819
0.7994 0.7500 0.6634
```



(11)
Compound: CeYCo2
Source: the Alexandria database
Functional: PBE
Structure: relaxed

Summary:
Calculated total energy in eV/atom: -6.873
Formation energy from the elements in eV/atom: -0.22

POSCAR file:
```
CeYCo2
1.0
5.9806 0.0000 0.0000
0.0000 6.0434 0.0000
-3.4674 0.0000 8.7407
Ce Y Co
4 4 8
direct
0.1949 0.1345 0.1555
0.1949 0.8655 0.6555
0.8051 0.1345 0.3445
0.8051 0.8655 0.8445
0.3074 0.3590 0.8513
0.3074 0.6410 0.3513
0.6926 0.3590 0.6487
0.6926 0.6410 0.1487
0.1124 0.3353 0.5281
0.1124 0.6647 0.0281
0.3483 0.1322 0.4087
0.3483 0.8678 0.9087
0.6517 0.1322 0.0913
0.6517 0.8678 0.5913
0.8876 0.3353 0.9719
0.8876 0.6647 0.4719
```



(12)
Compound: Ce6YCo3
Source: the Alexandria database
Functional: PBE
Structure: relaxed

Summary:
Calculated total energy in eV/atom: -6.424
Formation energy from the elements in eV/atom: -0.09

POSCAR file:
```
Ce6YCo3
1.0
5.3834 -6.3278 0.0000
5.3834 6.3278 0.0000
0.0000 0.0000 6.9253
Ce Y Co
12 2 6
direct
0.0443 0.4103 0.6028
0.0464 0.9536 0.5000
0.2232 0.7768 0.7717
0.2849 0.3859 0.9636
0.3859 0.2849 0.4636
0.4103 0.0443 0.1028
0.5897 0.9557 0.6028
0.6141 0.7151 0.9636
0.7151 0.6141 0.4636
0.7768 0.2232 0.2717
0.9536 0.0464 0.0000
0.9557 0.5897 0.1028
0.3282 0.6718 0.3140
0.6718 0.3282 0.8140
0.1103 0.2967 0.2900
0.2967 0.1103 0.7900
0.4251 0.5749 0.6737
0.5749 0.4251 0.1737
0.7033 0.8897 0.2900
0.8897 0.7033 0.7900
```



(13)
Compound: CeY2Co2
Source: the Alexandria database
Functional: PBE
Structure: relaxed

Summary:
Calculated total energy in eV/atom: -6.850
Formation energy from the elements in eV/atom: -0.23

POSCAR file:
```
CeY2Co2
1.0
5.1935 -3.0203 0.0000
5.1935 3.0203 0.0000
-1.2712 0.0000 6.9252
Ce Y Co
2 4 4
direct
0.0772 0.9228 0.7500
0.9228 0.0772 0.2500
0.2399 0.4534 0.3511
0.4534 0.2399 0.8511
0.5466 0.7601 0.1489
0.7601 0.5466 0.6489
0.0000 0.3035 0.0106
0.0000 0.6965 0.9894
0.3035 0.0000 0.5106
0.6965 0.0000 0.4894
```



(14)
Compound: Ce2YCo
Source: the Alexandria database
Functional: PBE
Structure: relaxed

Summary:
ΔE to the lowest computed polymorph in eV per formula unit: 0.560
Calculated total energy in eV/atom: -6.348
Formation energy from the elements in eV/atom: 0.01

POSCAR file:
```
Ce2YCo
1.0
3.5268 0.0000 0.0000
0.0000 3.5268 0.0000
0.0000 0.0000 8.0149
Ce Y Co
2 1 1
direct
0.0000 0.0000 0.1773
0.0000 0.0000 0.8227
0.5000 0.5000 0.5000
0.5000 0.5000 0.0000
```



(15)
Compound: Ce2YCo
Source: the Alexandria database
Functional: PBE
Structure: relaxed

Summary:
ΔE to the lowest computed polymorph in eV per formula unit: 0.001
Calculated total energy in eV/atom: -6.488
Formation energy from the elements in eV/atom: -0.13

POSCAR file:
```
Ce2YCo
1.0
1.7968 -5.6836 0.0000
1.7968 5.6836 0.0000
0.0000 0.0000 9.5480
Ce Y Co
4 2 2
direct
0.1408 0.8592 0.5648
0.1408 0.8592 0.9352
0.8592 0.1408 0.0648
0.8592 0.1408 0.4352
0.4150 0.5850 0.7500
0.5850 0.4150 0.2500
0.3054 0.6946 0.2500
0.6946 0.3054 0.7500
```



(16)
Compound: Ce2YCo2
Source: the Alexandria database
Functional: PBE
Structure: relaxed

Summary:
ΔE to the lowest computed polymorph in eV per formula unit: 0.746
Calculated total energy in eV/atom: -6.519
Formation energy from the elements in eV/atom: -0.01

POSCAR file:
```
Ce2YCo2
1.0
3.1552 -3.0152 0.0000
3.1552 3.0152 0.0000
-2.8760 0.0000 5.5743
Ce Y Co
2 1 2
direct
0.2363 0.7637 0.0000
0.7637 0.2363 0.0000
0.0000 0.0000 0.5000
0.4543 0.4543 0.2970
0.5457 0.5457 0.7030
```



(17)
Compound: Ce12YCo6
Source: the Alexandria database
Functional: PBE
Structure: relaxed

Summary:
Calculated total energy in eV/atom: -6.436
Formation energy from the elements in eV/atom: -0.10

POSCAR file:
```
Ce12YCo6
1.0
-4.8155 4.8155 4.8155
4.8155 -4.8155 4.8155
4.8155 4.8155 -4.8155
Ce Y Co
12 1 6
direct
0.1224 0.3101 0.8123
0.1877 0.4978 0.3101
0.1877 0.8776 0.6899
0.3101 0.1877 0.4978
0.3101 0.8123 0.1224
0.4978 0.3101 0.1877
0.5022 0.6899 0.8123
0.6899 0.1877 0.8776
0.6899 0.8123 0.5022
0.8123 0.1224 0.3101
0.8123 0.5022 0.6899
0.8776 0.6899 0.1877
0.0000 0.0000 0.0000
0.1429 0.5000 0.6429
0.3571 0.8571 0.5000
0.5000 0.3571 0.8571
0.5000 0.6429 0.1429
0.6429 0.1429 0.5000
0.8571 0.5000 0.3571
```



(18)
Compound: Ce4YCo4
Source: the Alexandria database
Functional: PBE
Structure: relaxed

Summary:
Calculated total energy in eV/atom: -6.667
Formation energy from the elements in eV/atom: -0.15

POSCAR file:
```
Ce4YCo4
1.0
8.2599 0.0000 0.0000
0.0000 8.2599 0.0000
0.0000 0.0000 5.6910
Ce Y Co
8 2 8
direct
0.0544 0.6667 0.1842
0.1667 0.9456 0.6842
0.3333 0.5544 0.6842
0.4456 0.8333 0.1842
0.5544 0.1667 0.8158
0.6667 0.4456 0.3158
0.8333 0.0544 0.3158
0.9456 0.3333 0.8158
0.2500 0.2500 0.2500
0.7500 0.7500 0.7500
0.0507 0.6071 0.6638
0.1071 0.9493 0.1638
0.3929 0.5507 0.1638
0.4493 0.8929 0.6638
0.5507 0.1071 0.3362
0.6071 0.4493 0.8362
0.8929 0.0507 0.8362
0.9493 0.3929 0.3362
```



(19)
Compound: Ce3Y2Co2
Source: the Alexandria database
Functional: PBE
Structure: relaxed

Summary:
Calculated total energy in eV/atom: -6.577
Formation energy from the elements in eV/atom: -0.16

POSCAR file:
```
Ce3Y2Co2
1.0
5.6651 -1.8175 0.0000
5.6651 1.8175 0.0000
-3.0517 0.0000 8.0755
Ce Y Co
3 2 2
direct
0.0000 0.0000 0.0000
0.1200 0.1200 0.4299
0.8800 0.8800 0.5701
0.3327 0.3327 0.1987
0.6673 0.6673 0.8013
0.3808 0.3808 0.7864
0.6192 0.6192 0.2136
```



(20)
Compound: CeY3Co8
Source: the Alexandria database
Functional: PBE
Structure: relaxed

Summary:
Calculated total energy in eV/atom: -7.027
Formation energy from the elements in eV/atom: -0.18

POSCAR file:
```
CeY3Co8
1.0
2.5354 1.4638 8.2895
-2.5354 1.4638 8.2895
0.0000 -2.9277 8.2895
Ce Y Co
1 3 8
direct
0.0000 0.0000 0.0000
0.1250 0.1250 0.1250
0.5005 0.5005 0.5005
0.6256 0.6256 0.6256
0.0632 0.0632 0.5610
0.0632 0.5610 0.0632
0.0638 0.5628 0.5628
0.3129 0.3129 0.3129
0.5610 0.0632 0.0632
0.5628 0.0638 0.5628
0.5628 0.5628 0.0638
0.8131 0.8131 0.8131
```



(21)
Compound: Ce2Y3Co4
Source: the Alexandria database
Functional: PBE
Structure: relaxed

Summary:
Calculated total energy in eV/atom: -6.829
Formation energy from the elements in eV/atom: -0.20

POSCAR file:
```
Ce2Y3Co4
1.0
5.4054 -2.0109 0.0000
5.4054 2.0109 0.0000
-1.6566 0.0000 8.5022
Ce Y Co
2 3 4
direct
0.1805 0.1805 0.2801
0.8195 0.8195 0.7199
0.1208 0.1208 0.8838
0.5000 0.5000 0.5000
0.8792 0.8792 0.1162
0.2156 0.2156 0.5880
0.4122 0.4122 0.8737
0.5878 0.5878 0.1263
0.7844 0.7844 0.4120
```



(22)
Compound: Ce2YCo
Source: the Alexandria database
Functional: PBE
Structure: relaxed

Summary:
ΔE to the lowest computed polymorph in eV per formula unit: 0.470
Calculated total energy in eV/atom: -6.370
Formation energy from the elements in eV/atom: -0.01

POSCAR file:
```
Ce2YCo
1.0
1.8342 1.0590 9.0052
-1.8342 1.0590 9.0052
0.0000 -2.1180 9.0052
Ce Y Co
2 1 1
direct
0.2265 0.2265 0.2265
0.7735 0.7735 0.7735
0.0000 0.0000 0.0000
0.5000 0.5000 0.5000
```